The following is a DFT calculation (PBE-GGA) of K4Tl after structural relaxation.

Cell lengths 6.9347, 6.9347, 6.9347 Å; angles 90.00, 90.00, 90.00 degrees
Space group Pm-3m (No. 221)
Unique sites:
K 0.0000 0.0000 0.0000
K 0.0000 0.5000 0.5000
Tl 0.5000 0.5000 0.5000

Energy of formation from the pure elements = 0.05 eV per atom
Polymorph energy (0 for the lowest one) = 76 meV per atom
DOS(E_F) = 4.44 states/eV/cell

The following is a DFT calculation (PBE-GGA) of SrPtRhS2 after structural relaxation.

Cell lengths 4.7018, 4.7018, 5.5620 Å; angles 90.00, 90.00, 90.00 degrees
Space group P4/mmm (No. 123)
Unique sites:
Sr 0.0000 0.0000 0.0000
Pt 0.0000 0.0000 0.5000
Rh 0.5000 0.5000 0.0000
S 0.0000 0.5000 0.5000

Raw formation energy = 0.37 eV/atom
DOS(E_F) = 5.80 states/eV/cell

The following is a DFT calculation (PBE-GGA) of PaAsIrSe after structural relaxation.

Cell lengths 4.1600, 4.1600, 8.9113 Å; angles 90.00, 90.00, 90.00 degrees
Space group P4/nmm (No. 129, origin choice 2)
Unique sites:
Pa 0.2500 0.2500 0.2360
As 0.2500 0.2500 0.6801
Ir 0.2500 0.7500 0.5000
Se 0.2500 0.7500 0.0000

Raw formation energy = -0.85 eV/atom
DOS(E_F) = 5.39 states/eV/cell

The following is a DFT calculation (PBE-GGA) of Tb6DyY2Er3 after structural relaxation.

Cell lengths 6.1484, 10.6383, 11.7438 Å; angles 90.00, 99.99, 90.00 degrees
Space group C2/m (No. 12)
Unique sites:
Tb 0.2486 0.0000 0.2484
Tb 0.2504 0.1663 0.7517
Dy 0.0000 0.0000 0.5000
Y 0.0000 0.3333 0.5000
Er 0.0000 0.1667 0.0000
Er 0.0000 0.5000 0.0000

Energy of formation from the pure elements = 0.02 eV per atom
DOS(E_F) = 32.29 states/eV/cell

The following is a DFT calculation (PBE-GGA) of Ta2TcP after structural relaxation.

Cell lengths 3.9102, 3.9102, 18.0420 Å; angles 90.00, 90.00, 90.00 degrees
Space group I-42d (No. 122)
Unique sites:
Ta 0.2360 0.2500 0.1250
Tc 0.0000 0.0000 0.5000
P 0.0000 0.0000 0.0000

Energy of formation from the pure elements = 0.37 eV per atom
DOS(E_F) = 17.28 states/eV/cell

The following is a DFT calculation (PBE-GGA) of YHo2Tm5In after structural relaxation.

Cell lengths 5.2906, 19.8638, 10.4042 Å; angles 90.00, 90.00, 90.00 degrees
Space group Cmcm (No. 63)
Unique sites:
Y 0.0000 0.2075 0.2500
Ho 0.0000 0.1162 0.5410
Tm 0.0000 0.0113 0.2500
Tm 0.0000 0.2899 0.5488
Tm 0.0000 0.3839 0.2500
Tm 0.0000 0.5000 0.0000
In 0.0000 0.4047 0.7500

Energy of formation from the pure elements = 0.00 eV per atom
DOS(E_F) = 52.83 states/eV/cell